No. 1
## NdGa5Pt2Rh (PBE)

Data for a geometry-optimized NdGa5Pt2Rh structure.

Values from the calculation:
The total energy comes out at -4.87 eV per atom. For the energy of formation from the pure elements, the calculation gives -432 kJ/mol of formula units. The calculation puts the calculated density at 8.759 g/cm3. The crystal system is tetragonal.

Cell and atoms, written as CIF:
```
data_NdGa5Pt2Rh
_symmetry_space_group_name_H-M 'P 4/m m m'
_symmetry_Int_Tables_number 123
_symmetry_space_group_name_Hall '-P 4 2'
_cell_length_a 4.290
_cell_length_b 4.290
_cell_length_c 10.154
_cell_angle_alpha 90.00
_cell_angle_beta 90.00
_cell_angle_gamma 90.00
loop_
_atom_site_label
_atom_site_type_symbol
_atom_site_fract_x
_atom_site_fract_y
_atom_site_fract_z
Nd1 Nd 0.000 0.000 0.000
Ga1 Ga 0.000 0.500 0.359
Ga2 Ga 0.500 0.500 0.000
Pt1 Pt 0.500 0.500 0.232
Rh1 Rh 0.000 0.000 0.500
```



No. 2
## Eu3InRu (PBE)

Data for a geometry-optimized Eu3InRu structure.

Values from the calculation:
The total energy comes out at -8.59 eV per atom. For the energy of formation from the pure elements, the calculation gives -10 kJ/mol of formula units. The calculation puts the calculated density at 6.897 g/cm3. The crystal system is cubic.

Cell and atoms, written as CIF:
```
data_Eu3InRu
_symmetry_space_group_name_H-M 'P m -3 m'
_symmetry_Int_Tables_number 221
_symmetry_space_group_name_Hall '-P 4 2 3'
_cell_length_a 5.448
_cell_length_b 5.448
_cell_length_c 5.448
_cell_angle_alpha 90.00
_cell_angle_beta 90.00
_cell_angle_gamma 90.00
loop_
_atom_site_label
_atom_site_type_symbol
_atom_site_fract_x
_atom_site_fract_y
_atom_site_fract_z
Eu1 Eu 0.000 0.000 0.500
In1 In 0.500 0.500 0.500
Ru1 Ru 0.000 0.000 0.000
```



No. 3
## ZrAl8Cu2 (PBE)

Data for a geometry-optimized ZrAl8Cu2 structure.

Values from the calculation:
The total energy comes out at -4.27 eV per atom. For the energy of formation from the pure elements, the calculation gives -32 kJ/mol of formula units. The calculation puts the calculated density at 3.864 g/cm3. The crystal system is tetragonal.

Cell and atoms, written as CIF:
```
data_ZrAl8Cu2
_symmetry_space_group_name_H-M 'P 4/m m m'
_symmetry_Int_Tables_number 123
_symmetry_space_group_name_Hall '-P 4 2'
_cell_length_a 3.880
_cell_length_b 3.880
_cell_length_c 12.394
_cell_angle_alpha 90.00
_cell_angle_beta 90.00
_cell_angle_gamma 90.00
loop_
_atom_site_label
_atom_site_type_symbol
_atom_site_fract_x
_atom_site_fract_y
_atom_site_fract_z
Zr1 Zr 0.000 0.000 0.000
Al1 Al 0.000 0.500 0.176
Al2 Al 0.000 0.500 0.500
Al3 Al 0.500 0.500 0.338
Cu1 Cu 0.000 0.000 0.338
```



No. 4
## Rb2MgSe3 (PBE)

Data for a geometry-optimized Rb2MgSe3 structure.

Values from the calculation:
The total energy comes out at -3.34 eV per atom. The calculation puts the calculated density at 3.489 g/cm3. The crystal system is orthorhombic. For the uncorrected formation energy, the calculation gives -1.007 eV per atom.

Cell and atoms, written as CIF:
```
data_Rb2MgSe3
_symmetry_space_group_name_H-M 'P n m a'
_symmetry_Int_Tables_number 62
_symmetry_space_group_name_Hall '-P 2ac 2n'
_cell_length_a 7.549
_cell_length_b 4.594
_cell_length_c 23.721
_cell_angle_alpha 90.00
_cell_angle_beta 90.00
_cell_angle_gamma 90.00
loop_
_atom_site_label
_atom_site_type_symbol
_atom_site_fract_x
_atom_site_fract_y
_atom_site_fract_z
Rb1 Rb 0.136 0.250 0.077
Rb2 Rb 0.247 0.250 0.281
Mg1 Mg 0.029 0.750 0.447
Se1 Se 0.080 0.250 0.658
Se2 Se 0.106 0.750 0.180
Se3 Se 0.195 0.250 0.469
```



No. 5
## Ir2Au (PBE)

Data for a geometry-optimized Ir2Au structure.

Values from the calculation:
The total energy comes out at -6.23 eV per atom. For the energy of formation from the pure elements, the calculation gives 222 kJ/mol of formula units. The calculation puts the calculated density at 18.175 g/cm3. The crystal system is tetragonal.

Cell and atoms, written as CIF:
```
data_Ir2Au
_symmetry_space_group_name_H-M 'I 41/a m d'
_symmetry_Int_Tables_number 141
_cell_length_a 3.540
_cell_length_b 3.540
_cell_length_c 16.957
_cell_angle_alpha 90.00
_cell_angle_beta 90.00
_cell_angle_gamma 90.00
loop_
_symmetry_equiv_pos_as_xyz
'x,y,z'
'-x,-y,-z'
'-y+1/4,x+3/4,z+1/4'
'y+1/4,-x+3/4,-z+1/4'
'-x+1/2,-y,z+1/2'
'x+1/2,y,-z+1/2'
'y+1/4,-x+1/4,z+3/4'
'-y+1/4,x+1/4,-z+3/4'
'x,-y,-z'
'-x,y,z'
'-y+1/4,-x+1/4,-z+3/4'
'y+1/4,x+1/4,z+3/4'
'-x+1/2,y,-z+1/2'
'x+1/2,-y,z+1/2'
'y+1/4,x+3/4,-z+1/4'
'-y+1/4,-x+3/4,z+1/4'
'x+1/2,y+1/2,z+1/2'
'-x+1/2,-y+1/2,-z+1/2'
'-y+3/4,x+1/4,z+3/4'
'y+3/4,-x+1/4,-z+3/4'
'-x,-y+1/2,z'
'x,y+1/2,-z'
'y+3/4,-x+3/4,z+1/4'
'-y+3/4,x+3/4,-z+1/4'
'x+1/2,-y+1/2,-z+1/2'
'-x+1/2,y+1/2,z+1/2'
'-y+3/4,-x+3/4,-z+1/4'
'y+3/4,x+3/4,z+1/4'
'-x,y+1/2,-z'
'x,-y+1/2,z'
'y+3/4,x+1/4,-z+3/4'
'-y+3/4,-x+1/4,z+3/4'
loop_
_atom_site_label
_atom_site_type_symbol
_atom_site_fract_x
_atom_site_fract_y
_atom_site_fract_z
Ir1 Ir 0.000 0.250 0.300
Au1 Au 0.000 0.250 0.875
```



No. 6
## TaTlRuO6 (PBE)

Data for a geometry-optimized TaTlRuO6 structure.

Values from the calculation:
The total energy comes out at -7.46 eV per atom. The calculation puts the calculated density at 8.084 g/cm3. The crystal system is trigonal. For the uncorrected formation energy, the calculation gives -1.546 eV per atom.

Cell and atoms, written as CIF:
```
data_TaTlRuO6
_symmetry_space_group_name_H-M 'P 3 1 2'
_symmetry_Int_Tables_number 149
_symmetry_space_group_name_Hall 'P 3 2'
_cell_length_a 5.2461
_cell_length_b 5.2461
_cell_length_c 5.0193
_cell_angle_alpha 90.00
_cell_angle_beta 90.00
_cell_angle_gamma 120.00
loop_
_atom_site_label
_atom_site_type_symbol
_atom_site_fract_x
_atom_site_fract_y
_atom_site_fract_z
Ta1 Ta 0.0000 0.0000 0.0000
Tl1 Tl 0.6667 0.3333 0.5000
Ru1 Ru 0.3333 0.6667 0.0000
O1 O 0.0333 0.3340 0.2203
```